Model P:
Material: CrFeNF2
Method: DFT, PBE with a Hubbard U
State: optimized geometry

Cell: 3.8496 3.8496 4.0799 Å, 90.00 90.00 90.00°
Last column: nearest neighbours and their distance in Å.
Element x y z (fractional)
F 0.0000 0.5000 0.0000  2 Cr 1.92
F 0.5000 0.0000 0.0000  2 Cr 1.92
Fe 0.5000 0.5000 0.5000  4 N 2.72, 8 F 2.80
N 0.0000 0.0000 0.5000  2 Cr 2.04
Cr 0.0000 0.0000 0.0000  4 F 1.92, 2 N 2.04


Model Q:
Material: CrFeNF2
Method: DFT, PBE with a Hubbard U
State: optimized geometry

Cell: 3.9060 3.9060 4.0681 Å, 90.00 90.00 90.00°
Last column: nearest neighbours and their distance in Å.
Element x y z (fractional)
Fe 0.0000 0.0000 0.0000  4 F 1.95, 2 N 2.03
N 0.0000 0.0000 0.5000  2 Fe 2.03
F 0.5000 0.0000 0.0000  2 Fe 1.95
F 0.0000 0.5000 0.0000  2 Fe 1.95
Cr 0.5000 0.5000 0.5000  4 N 2.76, 8 F 2.82


Most stable: model Q. Least stable: model P.